DFT (SCAN) results for a PBEsol-optimized structure of BeOsPt2.

Lattice parameters (Å, degrees): 2.6985 3.8888 5.1866 90.00 101.69 90.00
With the nearest neighbours (Å) after each atom.
Fractional coordinates of all 4 atoms:
1 Os 0.5000 0.5000 0.5000  2 Be 2.59, 2 Os 2.70, 8 Pt 2.70-2.72
2 Pt 0.1097 0.0000 0.7613  2 Be 2.43, 4 Pt 2.65-2.70, 2 Os 2.70
3 Pt 0.8903 0.0000 0.2387  2 Be 2.43, 4 Pt 2.65-2.70, 2 Os 2.70
4 Be 0.5000 0.5000 0.0000  4 Pt 2.43, 2 Os 2.59, 2 Be 2.70

Values from the calculation:
The formation energy comes out at -0.086 eV per atom. As for the total DFT energy (no corrections): -216.97 eV per cell. The calculation puts the magnetization at 0.000 μB/atom. As for the density of states at the Fermi level: 2.36 states/eV per cell.